# 1
Crystalline TbCePm2Dy at its relaxed geometry, computed with PBE-GGA.

Cell lengths 6.7101, 8.1239, 6.1334 Å; angles 90.00, 90.24, 90.00 degrees
Closest atoms and distances in Å follow each position.
Space group P2/c (No. 13)
One atom of each set of equivalent atoms:
Tb: 0.0000 0.1457 0.2500  6 Pm 3.24-3.56, 2 Ce 3.26
Ce: 0.0000 0.5000 0.0000  2 Ce 3.07, 2 Tb 3.26
Pm: 0.2638 0.1882 0.7516  2 Pm 3.17-3.54, 1 Tb 3.24, 2 Ce 3.45
Dy: 0.5000 0.3708 0.2500  2 Dy 3.72, 6 Pm 3.74-3.92, 2 Tb 3.82, 4 Ce 3.83-3.84

Results
- total DFT energy (no corrections) (Ha/atom) = -0.171
- energy of formation from the pure elements (eV/atom) = 0.2827
- total magnetization (Bohr magnetons per cell) = 1.0
- D(E_F) (states/eV/cell) = 23.20

***

# 2
Crystalline Tb5CePm2Dy at its relaxed geometry, computed with PBE-GGA.

Cell lengths 8.5782, 8.5782, 15.7617 Å; angles 90.00, 90.00, 90.00 degrees
Closest atoms and distances in Å follow each position.
Space group I4/mcm (No. 140)
One atom of each set of equivalent atoms:
Tb: 0.0000 0.0000 0.0000  4 Pm 3.41, 8 Tb 3.81
Tb: 0.2014 0.2986 0.1415  1 Ce 2.98, 1 Pm 3.09
Ce: 0.0000 0.5000 0.2500  4 Tb 2.98
Pm: 0.1220 0.3780 0.5000  1 Pm 2.96, 2 Tb 3.09
Dy: 0.0000 0.0000 0.2500  10 Tb 3.53-3.94

Results
- total DFT energy (no corrections) (Ha/atom) = -0.166
- energy of formation from the pure elements (eV/atom) = 0.2689
- total magnetization (Bohr magnetons per cell) = 3.8
- D(E_F) (states/eV/cell) = 62.80

***

# 3
Crystalline Tb2CePmDy4 at its relaxed geometry, computed with PBE-GGA.

Cell lengths 6.1578, 3.5546, 11.7921 Å; angles 90.00, 100.04, 90.00 degrees
Closest atoms and distances in Å follow each position.
Space group P2/m (No. 10)
One atom of each set of equivalent atoms:
Tb: 0.0000 0.0000 0.0000  2 Tb 3.55, 4 Pm 3.56, 6 Dy 3.58-3.59
Tb: 0.0000 0.5000 0.5000  6 Dy 3.54, 2 Tb 3.55, 4 Ce 3.56
Ce: 0.5000 0.0000 0.5000  6 Dy 3.52-3.53, 2 Ce 3.55, 4 Tb 3.56
Pm: 0.5000 0.5000 0.0000  2 Pm 3.55, 4 Tb 3.56, 6 Dy 3.56-3.57
Dy: 0.2520 0.0000 0.7485  6 Dy 3.53-3.58, 1 Ce 3.53, 3 Tb 3.54-3.58, 2 Pm 3.56
Dy: 0.2539 0.5000 0.2529  2 Ce 3.52, 6 Dy 3.53-3.58, 3 Tb 3.54-3.59, 1 Pm 3.57

Results
- total DFT energy (no corrections) (Ha/atom) = -0.175
- energy of formation from the pure elements (eV/atom) = 0.0394
- total magnetization (Bohr magnetons per cell) = 0.8
- D(E_F) (states/eV/cell) = 13.40